1.
First-principles (PBEsol) data for a relaxed Cd4Ag crystal, as listed in Alexandria via LeMat-Bulk.

Summary:
The calculation puts the mass density at 9.48 g/cm3. The value obtained for the formation energy is -0.01 eV/atom.

Cell lengths 3.155, 4.192, 7.834 Å; angles 105.52, 101.62, 90.00 degrees
Sites, in units of the cell vectors:
1 Cd 0.403 0.403 0.806
2 Ag 0.000 0.000 0.000
3 Cd 0.597 0.597 0.194
4 Cd 0.802 0.802 0.604
5 Cd 0.198 0.198 0.396

2.
First-principles (PBEsol) data for a relaxed NiHgAsSe2 crystal, as listed in Alexandria via LeMat-Bulk.

Summary:
The calculation puts the mass density at 7.95 g/cm3. For the total energy, the calculation gives -3.592 eV/atom.

Cell lengths 4.347, 4.863, 4.863 Å; angles 90.00, 90.00, 90.00 degrees
Sites, in units of the cell vectors:
1 Ni 0.000 0.000 0.000
2 Se 0.000 0.000 0.500
3 Se 0.000 0.500 0.000
4 As 0.500 0.000 0.000
5 Hg 0.500 0.500 0.500

3.
First-principles (PBEsol) data for a relaxed LaZr2Te crystal, as listed in Alexandria via LeMat-Bulk.

Summary:
The calculation puts the mass density at 7.73 g/cm3. For the total energy, the calculation gives -7.102 eV/atom.

Cell lengths 3.837, 5.175, 5.531 Å; angles 109.31, 110.29, 90.00 degrees
Sites, in units of the cell vectors:
1 Zr 0.994 0.948 0.988
2 La 0.505 0.453 0.010
3 Te 0.261 0.823 0.521
4 Zr 0.740 0.276 0.480